No. 1
Below is LaSn3Ir after structural relaxation, with properties calculated at the GGA-PBE level.

POSCAR file:
```
LaSn3Ir
1.0
5.8096 0.0000 0.0000
0.0000 5.8096 0.0000
0.0000 0.0000 5.8096
La Sn Ir
1 3 1
direct
0.0000 0.0000 0.0000 La
0.0000 0.0000 0.5000 Sn
0.0000 0.5000 0.0000 Sn
0.5000 0.0000 0.0000 Sn
0.5000 0.5000 0.5000 Ir
```

Calculated values
- formation enthalpy at 0 K (kJ/mol of formula units) = 822
- calculated density (g cm⁻³) = 5.8
- energy (hartree per atom) = -0.127
- volume (Å³ per cell) = 196.08

---

No. 2
Below is Rb2RhSBr6 after structural relaxation, with properties calculated at the GGA-PBE level.

POSCAR file:
```
Rb2RhSBr6
1.0
-3.8715 3.8715 5.1146
3.8715 -3.8715 5.1146
3.8715 3.8715 -5.1146
Rb Rh S Br
2 1 1 6
direct
0.2500 0.7500 0.5000 Rb
0.7500 0.2500 0.5000 Rb
0.0000 0.0000 0.0000 Rh
0.5000 0.5000 0.0000 S
0.2324 0.2324 0.4649 Br
0.2324 0.7676 0.0000 Br
0.2520 0.2520 0.0000 Br
0.7480 0.7480 0.0000 Br
0.7676 0.2324 0.0000 Br
0.7676 0.7676 0.5351 Br
```

Calculated values
- calculated density (g cm⁻³) = 4.3
- energy (hartree per atom) = -0.111
- volume (Å³ per cell) = 306.64
- uncorrected formation energy (eV/atom) = -0.679

---

No. 3
Below is RbVHg2 after structural relaxation, with properties calculated at the GGA-PBE level.

POSCAR file:
```
RbVHg2
1.0
7.7460 0.0000 0.0000
0.0000 7.7460 0.0000
0.0000 0.0000 7.7460
Rb V Hg
4 4 8
direct
0.0000 0.0000 0.0000 Rb
0.0000 0.5000 0.5000 Rb
0.5000 0.0000 0.5000 Rb
0.5000 0.5000 0.0000 Rb
0.0000 0.0000 0.5000 V
0.0000 0.5000 0.0000 V
0.5000 0.0000 0.0000 V
0.5000 0.5000 0.5000 V
0.2500 0.2500 0.2500 Hg
0.2500 0.2500 0.7500 Hg
0.2500 0.7500 0.2500 Hg
0.2500 0.7500 0.7500 Hg
0.7500 0.2500 0.2500 Hg
0.7500 0.2500 0.7500 Hg
0.7500 0.7500 0.2500 Hg
0.7500 0.7500 0.7500 Hg
```

Calculated values
- formation enthalpy at 0 K (kJ/mol of formula units) = 216
- calculated density (g cm⁻³) = 7.7
- energy (hartree per atom) = -0.078
- volume (Å³ per cell) = 464.76

---

No. 4
Below is TlTeI2F after structural relaxation, with properties calculated at the GGA-PBE level.

POSCAR file:
```
TlTeI2F
1.0
6.2724 0.0000 0.0000
0.0000 6.2724 0.0000
0.0000 0.0000 4.5565
Tl Te I F
1 1 2 1
direct
0.0000 0.0000 0.0000 Tl
0.5000 0.5000 0.5000 Te
0.0000 0.5000 0.5000 I
0.5000 0.0000 0.5000 I
0.5000 0.5000 0.0000 F
```

Calculated values
- calculated density (g cm⁻³) = 5.6
- energy (hartree per atom) = -0.101
- volume (Å³ per cell) = 179.27
- uncorrected formation energy (eV/atom) = -0.662

---

No. 5
Below is Na2PmGaTe4 after structural relaxation, with properties calculated at the GGA-PBE level.

POSCAR file:
```
Na2PmGaTe4
1.0
6.2344 -6.3902 0.0000
6.2344 6.3902 0.0000
-5.7329 0.0000 6.2543
Na Pm Ga Te
4 2 2 8
direct
0.0000 0.0000 0.0000 Na
0.0000 0.0000 0.5000 Na
0.0000 0.5000 0.0000 Na
0.5000 0.0000 0.5000 Na
0.0000 0.5000 0.5000 Pm
0.5000 0.0000 0.0000 Pm
0.5000 0.5000 0.0000 Ga
0.5000 0.5000 0.5000 Ga
0.2515 0.7473 0.9991 Te
0.2527 0.7485 0.5009 Te
0.2867 0.2892 0.5301 Te
0.2892 0.2867 0.0301 Te
0.7108 0.7133 0.9699 Te
0.7133 0.7108 0.4699 Te
0.7473 0.2515 0.4991 Te
0.7485 0.2527 0.0009 Te
```

Calculated values
- calculated density (g cm⁻³) = 5.1
- energy (hartree per atom) = -0.136
- volume (Å³ per cell) = 498.33
- uncorrected formation energy (eV/atom) = -0.832

---

No. 6
Below is BaCr2Mo after structural relaxation, with properties calculated at the GGA-PBE level.

POSCAR file:
```
BaCr2Mo
1.0
6.4585 0.0000 0.0000
0.0000 7.7446 0.0000
0.0000 0.0000 3.3479
Ba Cr Mo
2 4 2
direct
0.0000 0.0000 0.0000 Ba
0.5000 0.5000 0.0000 Ba
0.2500 0.2500 0.5000 Cr
0.2500 0.7500 0.5000 Cr
0.7500 0.2500 0.5000 Cr
0.7500 0.7500 0.5000 Cr
0.0000 0.5000 0.0000 Mo
0.5000 0.0000 0.0000 Mo
```

Calculated values
- formation enthalpy at 0 K (kJ/mol of formula units) = 513
- calculated density (g cm⁻³) = 6.7
- energy (hartree per atom) = -0.245
- volume (Å³ per cell) = 167.46

---

No. 7
Below is LiSc2Os after structural relaxation, with properties calculated at the GGA-PBE level.

POSCAR file:
```
LiSc2Os
1.0
6.5243 0.0000 0.0000
0.0000 6.5243 0.0000
0.0000 0.0000 6.5243
Li Sc Os
4 8 4
direct
0.0000 0.0000 0.0000 Li
0.0000 0.5000 0.5000 Li
0.5000 0.0000 0.5000 Li
0.5000 0.5000 0.0000 Li
0.2500 0.2500 0.2500 Sc
0.2500 0.2500 0.7500 Sc
0.2500 0.7500 0.2500 Sc
0.2500 0.7500 0.7500 Sc
0.7500 0.2500 0.2500 Sc
0.7500 0.2500 0.7500 Sc
0.7500 0.7500 0.2500 Sc
0.7500 0.7500 0.7500 Sc
0.0000 0.0000 0.5000 Os
0.0000 0.5000 0.0000 Os
0.5000 0.0000 0.0000 Os
0.5000 0.5000 0.5000 Os
```

Calculated values
- formation enthalpy at 0 K (kJ/mol of formula units) = -128
- calculated density (g cm⁻³) = 6.9
- energy (hartree per atom) = -0.249
- volume (Å³ per cell) = 277.71

---

No. 8
Below is TePd after structural relaxation, with properties calculated at the GGA-PBE level.

POSCAR file:
```
TePd
1.0
11.1448 0.0000 0.0000
0.0000 11.1448 0.0000
0.0000 0.0000 4.1856
Te Pd
8 8
direct
0.0685 0.3097 0.0000 Te
0.2444 0.6186 0.5000 Te
0.3097 0.9315 0.0000 Te
0.3814 0.2444 0.5000 Te
0.6186 0.7556 0.5000 Te
0.6903 0.0685 0.0000 Te
0.7556 0.3814 0.5000 Te
0.9315 0.6903 0.0000 Te
0.1223 0.5468 0.0000 Pd
0.1927 0.3821 0.5000 Pd
0.3821 0.8073 0.5000 Pd
0.4532 0.1223 0.0000 Pd
0.5468 0.8777 0.0000 Pd
0.6179 0.1927 0.5000 Pd
0.8073 0.6179 0.5000 Pd
0.8777 0.4532 0.0000 Pd
```

Calculated values
- calculated density (g cm⁻³) = 6.0
- energy (hartree per atom) = -0.160
- volume (Å³ per cell) = 519.88
- uncorrected formation energy (eV/atom) = -0.193

---

No. 9
Below is Na2ZrUS6 after structural relaxation, with properties calculated at the GGA-PBE level.

POSCAR file:
```
Na2ZrUS6
1.0
6.7346 0.0000 0.0000
0.0000 7.0960 0.0000
-6.6829 0.0000 9.7764
Na Zr U S
4 2 2 12
direct
0.2233 0.0759 0.2478 Na
0.2233 0.4241 0.7478 Na
0.7767 0.5759 0.2522 Na
0.7767 0.9241 0.7522 Na
0.0000 0.0000 0.5000 Zr
0.0000 0.5000 0.0000 Zr
0.5000 0.0000 0.0000 U
0.5000 0.5000 0.5000 U
0.1368 0.1977 0.9421 S
0.1368 0.3023 0.4421 S
0.2525 0.6981 0.9436 S
0.2525 0.8019 0.4436 S
0.3590 0.0275 0.7504 S
0.3590 0.4725 0.2504 S
0.6410 0.5275 0.7496 S
0.6410 0.9725 0.2496 S
0.7475 0.1981 0.5564 S
0.7475 0.3019 0.0564 S
0.8632 0.6977 0.5579 S
0.8632 0.8023 0.0579 S
```

Calculated values
- calculated density (g cm⁻³) = 4.0
- energy (hartree per atom) = -0.219
- volume (Å³ per cell) = 467.20
- uncorrected formation energy (eV/atom) = -1.239

---

No. 10
Below is Be3P after structural relaxation, with properties calculated at the GGA-PBE level.

POSCAR file:
```
Be3P
1.0
2.4833 0.0000 0.0000
0.0000 3.5503 0.0000
-1.0262 0.0000 4.6707
Be P
3 1
direct
0.0000 0.0000 0.0000 Be
0.2052 0.5000 0.8056 Be
0.7948 0.5000 0.1944 Be
0.0000 0.0000 0.5000 P
```

Calculated values
- formation enthalpy at 0 K (kJ/mol of formula units) = 101
- calculated density (g cm⁻³) = 2.3
- energy (hartree per atom) = -0.143
- volume (Å³ per cell) = 41.18

---

No. 11
Below is YOsRu2 after structural relaxation, with properties calculated at the GGA-PBE level.

POSCAR file:
```
YOsRu2
1.0
2.9331 0.0000 0.0000
0.0000 2.9331 0.0000
0.0000 0.0000 7.8364
Y Os Ru
1 1 2
direct
0.0000 0.0000 0.0000 Y
0.0000 0.0000 0.5000 Os
0.5000 0.5000 0.2882 Ru
0.5000 0.5000 0.7118 Ru
```

Calculated values
- formation enthalpy at 0 K (kJ/mol of formula units) = 62
- calculated density (g cm⁻³) = 11.9
- energy (hartree per atom) = -0.327
- volume (Å³ per cell) = 67.42

---

No. 12
Below is Dy6Sb3PbSe2 after structural relaxation, with properties calculated at the GGA-PBE level.

POSCAR file:
```
Dy6Sb3PbSe2
1.0
9.3549 -2.1490 0.0000
9.3549 2.1490 0.0000
-1.9537 0.0000 8.4073
Dy Sb Pb Se
6 3 1 2
direct
0.0041 0.0041 0.2538 Dy
0.3313 0.3313 0.4197 Dy
0.3318 0.3318 0.9112 Dy
0.6682 0.6682 0.0888 Dy
0.6687 0.6687 0.5803 Dy
0.9959 0.9959 0.7462 Dy
0.1658 0.1658 0.8312 Sb
0.5000 0.5000 0.5000 Sb
0.8342 0.8342 0.1688 Sb
0.5000 0.5000 0.0000 Pb
0.1692 0.1692 0.3380 Se
0.8308 0.8308 0.6620 Se
```

Calculated values
- calculated density (g cm⁻³) = 8.4
- energy (hartree per atom) = -0.200
- volume (Å³ per cell) = 338.03
- uncorrected formation energy (eV/atom) = -1.233

---

Q: Which value of calculated density does entry 9 give?
A: 4.0 g cm⁻³

---

Q: energy of number 6 (BaCr2Mo)?
A: -0.245 hartree per atom